*1*
# PBE-GGA PRuBr2, optimized geometry
data_PRuBr2
_chemical_formula_sum 'P4 Ru4 Br8'
_space_group_name_H-M_alt 'F m -3 m'
_space_group_IT_number 225
_space_group_name_Hall '-F 4 2 3'
_cell_length_a 6.6801
_cell_length_b 6.6801
_cell_length_c 6.6801
_cell_angle_alpha 90.00
_cell_angle_beta 90.00
_cell_angle_gamma 90.00
loop_
_atom_site_label
_atom_site_type_symbol
_atom_site_fract_x
_atom_site_fract_y
_atom_site_fract_z
_atom_site_occupancy
P1 P 0.0000 0.0000 0.0000 1
Ru1 Ru 0.0000 0.0000 0.5000 1
Br1 Br 0.2500 0.2500 0.2500 1
# - DOS at the Fermi energy: 0.5159 states/eV/atom
# - Total magnetic moment: 0.359 μB per atom

*2*
# PBE-GGA PRuBr2, optimized geometry
data_PRuBr2
_chemical_formula_sum 'P4 Ru4 Br8'
_space_group_name_H-M_alt 'I -4 2 d'
_space_group_IT_number 122
_space_group_name_Hall 'I -4 2bw'
_cell_length_a 9.5667
_cell_length_b 9.5667
_cell_length_c 4.4351
_cell_angle_alpha 90.00
_cell_angle_beta 90.00
_cell_angle_gamma 90.00
loop_
_atom_site_label
_atom_site_type_symbol
_atom_site_fract_x
_atom_site_fract_y
_atom_site_fract_z
_atom_site_occupancy
P1 P 0.0000 0.0000 0.0000 1
Ru1 Ru 0.0000 0.0000 0.5000 1
Br1 Br 0.0971 0.2500 0.6250 1
# - DOS at the Fermi energy: 0.6650 states/eV/atom
# - Total magnetic moment: 0.071 μB per atom

Quick one: most stable of them? *2*

*1*
# PBE-GGA P2RuBr, optimized geometry
data_P2RuBr
_chemical_formula_sum 'P8 Ru4 Br4'
_space_group_name_H-M_alt 'F m -3 m'
_space_group_IT_number 225
_space_group_name_Hall '-F 4 2 3'
_cell_length_a 6.3362
_cell_length_b 6.3362
_cell_length_c 6.3362
_cell_angle_alpha 90.00
_cell_angle_beta 90.00
_cell_angle_gamma 90.00
loop_
_atom_site_label
_atom_site_type_symbol
_atom_site_fract_x
_atom_site_fract_y
_atom_site_fract_z
_atom_site_occupancy
P1 P 0.2500 0.2500 0.2500 1
Ru1 Ru 0.0000 0.0000 0.0000 1
Br1 Br 0.0000 0.0000 0.5000 1
# - DOS at the Fermi energy: 1.0019 states/eV/atom
# - Total magnetic moment: 0.216 μB per atom

*2*
# PBE-GGA P2RuBr, optimized geometry
data_P2RuBr
_chemical_formula_sum 'P4 Ru2 Br2'
_space_group_name_H-M_alt 'C 1 m 1'
_space_group_IT_number 8
_cell_length_a 7.5792
_cell_length_b 3.4452
_cell_length_c 7.5339
_cell_angle_alpha 90.00
_cell_angle_beta 109.88
_cell_angle_gamma 90.00
loop_
_space_group_symop_operation_xyz
'x,y,z'
'x,-y,z'
'x+1/2,y+1/2,z'
'x+1/2,-y+1/2,z'
loop_
_atom_site_label
_atom_site_type_symbol
_atom_site_fract_x
_atom_site_fract_y
_atom_site_fract_z
_atom_site_occupancy
P1 P 0.0000 0.0000 0.0000 1
P2 P 0.1428 0.0000 0.8104 1
Ru1 Ru 0.4132 0.0000 0.7383 1
Br1 Br 0.3030 0.5000 0.4565 1
# - DOS at the Fermi energy: 1.1298 states/eV/atom
# - Total magnetic moment: 0.000 μB per atom

Quick one: most stable of them? *2*

*1*
# PBE-GGA PRuS2Br, optimized geometry
data_PRuS2Br
_chemical_formula_sum 'P1 Ru1 S2 Br1'
_space_group_name_H-M_alt 'P 4/m m m'
_space_group_IT_number 123
_space_group_name_Hall '-P 4 2'
_cell_length_a 4.6540
_cell_length_b 4.6540
_cell_length_c 4.7776
_cell_angle_alpha 90.00
_cell_angle_beta 90.00
_cell_angle_gamma 90.00
loop_
_atom_site_label
_atom_site_type_symbol
_atom_site_fract_x
_atom_site_fract_y
_atom_site_fract_z
_atom_site_occupancy
P1 P 0.0000 0.0000 0.0000 1
Ru1 Ru 0.5000 0.5000 0.0000 1
S1 S 0.0000 0.5000 0.5000 1
Br1 Br 0.0000 0.0000 0.5000 1
# - DOS at the Fermi energy: 1.2315 states/eV/atom
# - Total magnetic moment: 0.593 μB per atom

*2*
# PBE-GGA PRuS2Br, optimized geometry
data_PRuS2Br
_chemical_formula_sum 'P1 Ru1 S2 Br1'
_space_group_name_H-M_alt 'P 4/m m m'
_space_group_IT_number 123
_space_group_name_Hall '-P 4 2'
_cell_length_a 4.4970
_cell_length_b 4.4970
_cell_length_c 5.0544
_cell_angle_alpha 90.00
_cell_angle_beta 90.00
_cell_angle_gamma 90.00
loop_
_atom_site_label
_atom_site_type_symbol
_atom_site_fract_x
_atom_site_fract_y
_atom_site_fract_z
_atom_site_occupancy
P1 P 0.0000 0.0000 0.0000 1
Ru1 Ru 0.0000 0.0000 0.5000 1
S1 S 0.0000 0.5000 0.5000 1
Br1 Br 0.5000 0.5000 0.0000 1
# - DOS at the Fermi energy: 1.2033 states/eV/atom
# - Total magnetic moment: 0.000 μB per atom

Quick one: most stable of them? *2*

*1*
# PBE-GGA PRuSe2Br, optimized geometry
data_PRuSe2Br
_chemical_formula_sum 'P1 Ru1 Se2 Br1'
_space_group_name_H-M_alt 'P 4/m m m'
_space_group_IT_number 123
_space_group_name_Hall '-P 4 2'
_cell_length_a 4.8031
_cell_length_b 4.8031
_cell_length_c 5.0151
_cell_angle_alpha 90.00
_cell_angle_beta 90.00
_cell_angle_gamma 90.00
loop_
_atom_site_label
_atom_site_type_symbol
_atom_site_fract_x
_atom_site_fract_y
_atom_site_fract_z
_atom_site_occupancy
P1 P 0.0000 0.0000 0.0000 1
Ru1 Ru 0.5000 0.5000 0.5000 1
Se1 Se 0.0000 0.5000 0.5000 1
Br1 Br 0.5000 0.5000 0.0000 1
# - DOS at the Fermi energy: 0.9944 states/eV/atom
# - Total magnetic moment: 0.000 μB per atom

*2*
# PBE-GGA PRuSe2Br, optimized geometry
data_PRuSe2Br
_chemical_formula_sum 'P1 Ru1 Se2 Br1'
_space_group_name_H-M_alt 'P 4/m m m'
_space_group_IT_number 123
_space_group_name_Hall '-P 4 2'
_cell_length_a 4.8761
_cell_length_b 4.8761
_cell_length_c 4.9041
_cell_angle_alpha 90.00
_cell_angle_beta 90.00
_cell_angle_gamma 90.00
loop_
_atom_site_label
_atom_site_type_symbol
_atom_site_fract_x
_atom_site_fract_y
_atom_site_fract_z
_atom_site_occupancy
P1 P 0.0000 0.0000 0.0000 1
Ru1 Ru 0.5000 0.5000 0.5000 1
Se1 Se 0.0000 0.5000 0.0000 1
Br1 Br 0.0000 0.0000 0.5000 1
# - DOS at the Fermi energy: 1.3816 states/eV/atom
# - Total magnetic moment: 0.744 μB per atom

Quick one: most stable of them? *1*

*1*
# PBE-GGA PSBr2, optimized geometry
data_PSBr2
_chemical_formula_sum 'P3 S3 Br6'
_space_group_name_H-M_alt 'R -3 m'
_space_group_IT_number 166
_space_group_name_Hall '-R 3 2"'
_cell_length_a 3.3507
_cell_length_b 3.3507
_cell_length_c 28.2506
_cell_angle_alpha 90.00
_cell_angle_beta 90.00
_cell_angle_gamma 120.00
loop_
_atom_site_label
_atom_site_type_symbol
_atom_site_fract_x
_atom_site_fract_y
_atom_site_fract_z
_atom_site_occupancy
P1 P 0.0000 0.0000 0.0000 1
S1 S 0.0000 0.0000 0.5000 1
Br1 Br 0.0000 0.0000 0.0827 1
# - DOS at the Fermi energy: 0.9875 states/eV/atom
# - Total magnetic moment: 0.000 μB per atom

*2*
# PBE-GGA PSBr2, optimized geometry
data_PSBr2
_chemical_formula_sum 'P4 S4 Br8'
_space_group_name_H-M_alt 'I -4 2 d'
_space_group_IT_number 122
_space_group_name_Hall 'I -4 2bw'
_cell_length_a 10.0436
_cell_length_b 10.0436
_cell_length_c 4.4382
_cell_angle_alpha 90.00
_cell_angle_beta 90.00
_cell_angle_gamma 90.00
loop_
_atom_site_label
_atom_site_type_symbol
_atom_site_fract_x
_atom_site_fract_y
_atom_site_fract_z
_atom_site_occupancy
P1 P 0.0000 0.0000 0.0000 1
S1 S 0.0000 0.0000 0.5000 1
Br1 Br 0.0756 0.2500 0.1250 1
# - DOS at the Fermi energy: 1.4593 states/eV/atom
# - Total magnetic moment: 0.000 μB per atom

Quick one: most stable of them? *2*

*1*
# PBE-GGA PSBr2, optimized geometry
data_PSBr2
_chemical_formula_sum 'P4 S4 Br8'
_space_group_name_H-M_alt 'P n n a'
_space_group_IT_number 52
_cell_length_a 7.0798
_cell_length_b 5.4779
_cell_length_c 15.7561
_cell_angle_alpha 90.00
_cell_angle_beta 90.00
_cell_angle_gamma 90.00
loop_
_space_group_symop_operation_xyz
'x,y,z'
'-x,-y,-z'
'-x+1/2,-y,z'
'x+1/2,y,-z'
'x,-y+1/2,-z+1/2'
'-x,y+1/2,z+1/2'
'-x+1/2,y+1/2,-z+1/2'
'x+1/2,-y+1/2,z+1/2'
loop_
_atom_site_label
_atom_site_type_symbol
_atom_site_fract_x
_atom_site_fract_y
_atom_site_fract_z
_atom_site_occupancy
P1 P 0.2500 0.0000 0.1740 1
S1 S 0.0921 0.2500 0.2500 1
Br1 Br 0.0106 0.2168 0.8802 1
# - DOS at the Fermi energy: 0.4413 states/eV/atom
# - Total magnetic moment: 0.000 μB per atom

*2*
# PBE-GGA PSBr2, optimized geometry
data_PSBr2
_chemical_formula_sum 'P3 S3 Br6'
_space_group_name_H-M_alt 'R -3 m'
_space_group_IT_number 166
_space_group_name_Hall '-R 3 2"'
_cell_length_a 3.7383
_cell_length_b 3.7383
_cell_length_c 25.4514
_cell_angle_alpha 90.00
_cell_angle_beta 90.00
_cell_angle_gamma 120.00
loop_
_atom_site_label
_atom_site_type_symbol
_atom_site_fract_x
_atom_site_fract_y
_atom_site_fract_z
_atom_site_occupancy
P1 P 0.0000 0.0000 0.0000 1
S1 S 0.0000 0.0000 0.5000 1
Br1 Br 0.0000 0.0000 0.4039 1
# - DOS at the Fermi energy: 0.7843 states/eV/atom
# - Total magnetic moment: 0.000 μB per atom

Quick one: most stable of them? *1*